V2MoRu4 | GGA-PBE | optimized geometry

```
V2MoRu4
1.0
-2.3112 2.3112 6.0095
2.3112 -2.3112 6.0095
2.3112 2.3112 -6.0095
V Mo Ru
2 1 4
Direct
0.1183 0.1183 0.0000
0.8817 0.8817 0.0000
0.5000 0.5000 0.0000
0.0000 0.5000 0.5000
0.2889 0.2889 0.0000
0.5000 0.0000 0.5000
0.7111 0.7111 0.0000
```

Properties
- space group = I4/mmm, No. 139
- distance to the lowest polymorph of the same formula (kJ/mol of formula units) = 855

=====

VMoRu2 | GGA-PBE | optimized geometry

```
VMoRu2
1.0
2.1323 1.2311 3.6995
-2.1323 1.2311 3.6995
0.0000 -2.4622 3.6995
V Mo Ru
1 1 2
Direct
0.0000 0.0000 0.0000
0.7613 0.7613 0.7613
0.2731 0.2731 0.2731
0.5008 0.5008 0.5008
```

Properties
- space group = R3m, No. 160
- distance to the lowest polymorph of the same formula (kJ/mol of formula units) = 86

=====

V2MoRu | GGA-PBE | optimized geometry

```
V2MoRu
1.0
4.3017 0.0000 0.0000
0.0000 4.3017 0.0000
0.0000 0.0000 3.0340
V Mo Ru
2 1 1
Direct
0.0000 0.5000 0.0000
0.5000 0.0000 0.0000
0.0000 0.0000 0.5000
0.5000 0.5000 0.5000
```

Properties
- space group = P4/mmm, No. 123
- distance to the lowest polymorph of the same formula (kJ/mol of formula units) = 0

=====

V4Mo3Ru2 | GGA-PBE | optimized geometry

```
V4Mo3Ru2
1.0
4.3091 0.0000 0.0000
-2.1545 3.7317 0.0000
0.0000 0.0000 7.9856
V Mo Ru
4 3 2
Direct
0.0000 0.0000 0.1701
0.0000 0.0000 0.8299
0.3333 0.6667 0.3935
0.6667 0.3333 0.6065
0.0000 0.0000 0.5000
0.3333 0.6667 0.0578
0.6667 0.3333 0.9422
0.3333 0.6667 0.7180
0.6667 0.3333 0.2820
```

Properties
- space group = P-3m1, No. 164

=====

VMo2Ru | GGA-PBE | optimized geometry

```
VMo2Ru
1.0
0.0000 3.0958 3.0958
3.0958 0.0000 3.0958
3.0958 3.0958 0.0000
V Mo Ru
1 2 1
Direct
0.0000 0.0000 0.0000
0.2500 0.2500 0.2500
0.7500 0.7500 0.7500
0.5000 0.5000 0.5000
```

Properties
- space group = Fm-3m, No. 225
- distance to the lowest polymorph of the same formula (kJ/mol of formula units) = 31

=====

V4Mo5Ru | GGA-PBE | optimized geometry

```
V4Mo5Ru
1.0
6.8190 -2.0642 0.0000
6.8190 2.0642 0.0000
-2.1258 0.0000 5.5745
V Mo Ru
4 5 1
Direct
0.0036 0.0036 0.2485
0.3347 0.3347 0.5989
0.6653 0.6653 0.4011
0.9964 0.9964 0.7515
0.1690 0.1690 0.6765
0.1867 0.1867 0.1276
0.5000 0.5000 0.0000
0.8133 0.8133 0.8724
0.8310 0.8310 0.3235
0.5000 0.5000 0.5000
```

Properties
- space group = C2/m, No. 12

=====

no.,ΔE_f (eV per atom)
1,1.205
2,0.122
3,-0.267
4,-0.213
5,0.050
6,0.345